(1)
A relaxed LiEuSi crystal, computed with PBE-GGA.

Computed properties:
formation energy without anion corrections	-31.8	kJ/mol of atoms
total magnetic moment	6.87	μB/cell

The structure in CIF format:
```
data_LiEuSi
_chemical_formula_sum 'Li1 Eu1 Si1'
_symmetry_space_group_name_H-M 'P -6 m 2'
_symmetry_Int_Tables_number 187
_symmetry_space_group_name_Hall 'P -6 2'
_cell_length_a 4.6164
_cell_length_b 4.6164
_cell_length_c 3.6233
_cell_angle_alpha 90.00
_cell_angle_beta 90.00
_cell_angle_gamma 120.00
loop_
_atom_site_label
_atom_site_type_symbol
_atom_site_fract_x
_atom_site_fract_y
_atom_site_fract_z
_atom_site_occupancy
Li1 Li 0.0000 0.0000 0.0000 1
Eu1 Eu 0.6667 0.3333 0.5000 1
Si1 Si 0.3333 0.6667 0.0000 1
```

(2)
A relaxed Li4EuSi crystal, computed with PBE-GGA.

Computed properties:
formation energy without anion corrections	-5.1	kJ/mol of atoms
total magnetic moment	27.60	μB/cell

The structure in CIF format:
```
data_Li4EuSi
_chemical_formula_sum 'Li16 Eu4 Si4'
_symmetry_space_group_name_H-M 'F -4 3 m'
_symmetry_Int_Tables_number 216
_symmetry_space_group_name_Hall 'F -4 2 3'
_cell_length_a 7.661
_cell_length_b 7.661
_cell_length_c 7.661
_cell_angle_alpha 90.00
_cell_angle_beta 90.00
_cell_angle_gamma 90.00
loop_
_atom_site_label
_atom_site_type_symbol
_atom_site_fract_x
_atom_site_fract_y
_atom_site_fract_z
_atom_site_occupancy
Li1 Li 0.123 0.123 0.377 1
Eu1 Eu 0.000 0.000 0.000 1
Si1 Si 0.250 0.250 0.750 1
```

(3)
A relaxed LiSmEuSi crystal, computed with PBE-GGA.

Computed properties:
formation energy without anion corrections	-28.0	kJ/mol of atoms
total magnetic moment	29.81	μB/cell

The structure in CIF format:
```
data_LiSmEuSi
_chemical_formula_sum 'Li4 Sm4 Eu4 Si4'
_symmetry_space_group_name_H-M 'F -4 3 m'
_symmetry_Int_Tables_number 216
_symmetry_space_group_name_Hall 'F -4 2 3'
_cell_length_a 7.310
_cell_length_b 7.310
_cell_length_c 7.310
_cell_angle_alpha 90.00
_cell_angle_beta 90.00
_cell_angle_gamma 90.00
loop_
_atom_site_label
_atom_site_type_symbol
_atom_site_fract_x
_atom_site_fract_y
_atom_site_fract_z
_atom_site_occupancy
Li1 Li 0.000 0.000 0.000 1
Sm1 Sm 0.250 0.250 0.250 1
Eu1 Eu 0.250 0.250 0.750 1
Si1 Si 0.000 0.000 0.500 1
```

(4)
A relaxed SrLiEuSi crystal, computed with PBE-GGA.

Computed properties:
formation energy without anion corrections	-21.0	kJ/mol of atoms
total magnetic moment	28.55	μB/cell

The structure in CIF format:
```
data_SrLiEuSi
_chemical_formula_sum 'Sr4 Li4 Eu4 Si4'
_symmetry_space_group_name_H-M 'F -4 3 m'
_symmetry_Int_Tables_number 216
_symmetry_space_group_name_Hall 'F -4 2 3'
_cell_length_a 7.613
_cell_length_b 7.613
_cell_length_c 7.613
_cell_angle_alpha 90.00
_cell_angle_beta 90.00
_cell_angle_gamma 90.00
loop_
_atom_site_label
_atom_site_type_symbol
_atom_site_fract_x
_atom_site_fract_y
_atom_site_fract_z
_atom_site_occupancy
Sr1 Sr 0.000 0.000 0.000 1
Li1 Li 0.250 0.250 0.250 1
Eu1 Eu 0.000 0.000 0.500 1
Si1 Si 0.250 0.250 0.750 1
```

(5)
A relaxed LiEuTlSi crystal, computed with PBE-GGA.

Computed properties:
formation energy without anion corrections	-21.8	kJ/mol of atoms
total magnetic moment	27.74	μB/cell

The structure in CIF format:
```
data_LiEuTlSi
_chemical_formula_sum 'Li4 Eu4 Tl4 Si4'
_symmetry_space_group_name_H-M 'F -4 3 m'
_symmetry_Int_Tables_number 216
_symmetry_space_group_name_Hall 'F -4 2 3'
_cell_length_a 7.215
_cell_length_b 7.215
_cell_length_c 7.215
_cell_angle_alpha 90.00
_cell_angle_beta 90.00
_cell_angle_gamma 90.00
loop_
_atom_site_label
_atom_site_type_symbol
_atom_site_fract_x
_atom_site_fract_y
_atom_site_fract_z
_atom_site_occupancy
Li1 Li 0.000 0.000 0.000 1
Eu1 Eu 0.000 0.000 0.500 1
Tl1 Tl 0.250 0.250 0.750 1
Si1 Si 0.250 0.250 0.250 1
```

(6)
A relaxed LiEuTmSi crystal, computed with PBE-GGA.

Computed properties:
formation energy without anion corrections	-26.5	kJ/mol of atoms
total magnetic moment	29.58	μB/cell

The structure in CIF format:
```
data_LiEuTmSi
_chemical_formula_sum 'Li4 Eu4 Tm4 Si4'
_symmetry_space_group_name_H-M 'F -4 3 m'
_symmetry_Int_Tables_number 216
_symmetry_space_group_name_Hall 'F -4 2 3'
_cell_length_a 7.163
_cell_length_b 7.163
_cell_length_c 7.163
_cell_angle_alpha 90.00
_cell_angle_beta 90.00
_cell_angle_gamma 90.00
loop_
_atom_site_label
_atom_site_type_symbol
_atom_site_fract_x
_atom_site_fract_y
_atom_site_fract_z
_atom_site_occupancy
Li1 Li 0.000 0.000 0.000 1
Eu1 Eu 0.250 0.250 0.750 1
Tm1 Tm 0.250 0.250 0.250 1
Si1 Si 0.000 0.000 0.500 1
```

(7)
A relaxed LiEuZnSi crystal, computed with PBE-GGA.

Computed properties:
formation energy without anion corrections	-22.1	kJ/mol of atoms
total magnetic moment	26.98	μB/cell

The structure in CIF format:
```
data_LiEuZnSi
_chemical_formula_sum 'Li4 Eu4 Zn4 Si4'
_symmetry_space_group_name_H-M 'F -4 3 m'
_symmetry_Int_Tables_number 216
_symmetry_space_group_name_Hall 'F -4 2 3'
_cell_length_a 6.867
_cell_length_b 6.867
_cell_length_c 6.867
_cell_angle_alpha 90.00
_cell_angle_beta 90.00
_cell_angle_gamma 90.00
loop_
_atom_site_label
_atom_site_type_symbol
_atom_site_fract_x
_atom_site_fract_y
_atom_site_fract_z
_atom_site_occupancy
Li1 Li 0.000 0.000 0.000 1
Eu1 Eu 0.000 0.000 0.500 1
Zn1 Zn 0.250 0.250 0.250 1
Si1 Si 0.250 0.250 0.750 1
```

(8)
A relaxed LiSmEu crystal, computed with PBE-GGA.

Computed properties:
polymorph energy (0 for the lowest one)	0	meV/atom
total magnetic moment	15.83	μB/cell
formation enthalpy at 0 K	0.118	eV per atom

The structure in CIF format:
```
data_LiSmEu
_chemical_formula_sum 'Li2 Sm2 Eu2'
_symmetry_space_group_name_H-M 'I 4 m m'
_symmetry_Int_Tables_number 107
_symmetry_space_group_name_Hall 'I 4 -2'
_cell_length_a 3.814
_cell_length_b 3.814
_cell_length_c 13.118
_cell_angle_alpha 90.00
_cell_angle_beta 90.00
_cell_angle_gamma 90.00
loop_
_atom_site_label
_atom_site_type_symbol
_atom_site_fract_x
_atom_site_fract_y
_atom_site_fract_z
_atom_site_occupancy
Li1 Li 0.000 0.000 0.000 1
Sm1 Sm 0.000 0.000 0.643 1
Eu1 Eu 0.000 0.000 0.344 1
```

(9)
A relaxed Li4SmEu crystal, computed with PBE-GGA.

Computed properties:
total magnetic moment	31.29	μB/cell
formation enthalpy at 0 K	0.093	eV per atom

The structure in CIF format:
```
data_Li4SmEu
_chemical_formula_sum 'Li16 Sm4 Eu4'
_symmetry_space_group_name_H-M 'F -4 3 m'
_symmetry_Int_Tables_number 216
_symmetry_space_group_name_Hall 'F -4 2 3'
_cell_length_a 8.547
_cell_length_b 8.547
_cell_length_c 8.547
_cell_angle_alpha 90.00
_cell_angle_beta 90.00
_cell_angle_gamma 90.00
loop_
_atom_site_label
_atom_site_type_symbol
_atom_site_fract_x
_atom_site_fract_y
_atom_site_fract_z
_atom_site_occupancy
Li1 Li 0.124 0.124 0.124 1
Sm1 Sm 0.250 0.250 0.750 1
Eu1 Eu 0.000 0.000 0.500 1
```

(10)
A relaxed LiSm2Eu crystal, computed with PBE-GGA.

Computed properties:
polymorph energy (0 for the lowest one)	0	meV/atom
total magnetic moment	7.36	μB/cell
formation enthalpy at 0 K	0.187	eV per atom

The structure in CIF format:
```
data_LiSm2Eu
_chemical_formula_sum 'Li1 Sm2 Eu1'
_symmetry_space_group_name_H-M 'P 4/m m m'
_symmetry_Int_Tables_number 123
_symmetry_space_group_name_Hall '-P 4 2'
_cell_length_a 5.678
_cell_length_b 5.678
_cell_length_c 3.965
_cell_angle_alpha 90.00
_cell_angle_beta 90.00
_cell_angle_gamma 90.00
loop_
_atom_site_label
_atom_site_type_symbol
_atom_site_fract_x
_atom_site_fract_y
_atom_site_fract_z
_atom_site_occupancy
Li1 Li 0.000 0.000 0.000 1
Sm1 Sm 0.000 0.500 0.500 1
Eu1 Eu 0.500 0.500 0.000 1
```

(11)
A relaxed LiSm2Eu crystal, computed with PBE-GGA.

Computed properties:
polymorph energy (0 for the lowest one)	68	meV/atom
total magnetic moment	24.16	μB/cell
formation enthalpy at 0 K	0.255	eV per atom

The structure in CIF format:
```
data_LiSm2Eu
_chemical_formula_sum 'Li3 Sm6 Eu3'
_symmetry_space_group_name_H-M 'R -3 m'
_symmetry_Int_Tables_number 166
_symmetry_space_group_name_Hall '-R 3 2"'
_cell_length_a 3.5419
_cell_length_b 3.5419
_cell_length_c 38.0192
_cell_angle_alpha 90.00
_cell_angle_beta 90.00
_cell_angle_gamma 120.00
loop_
_atom_site_label
_atom_site_type_symbol
_atom_site_fract_x
_atom_site_fract_y
_atom_site_fract_z
_atom_site_occupancy
Li1 Li 0.0000 0.0000 0.0000 1
Sm1 Sm 0.0000 0.0000 0.0861 1
Eu1 Eu 0.0000 0.0000 0.5000 1
```

(12)
A relaxed LiSmEu crystal, computed with PBE-GGA.

Computed properties:
polymorph energy (0 for the lowest one)	65	meV/atom
total magnetic moment	7.35	μB/cell
formation enthalpy at 0 K	0.183	eV per atom

The structure in CIF format:
```
data_LiSmEu
_chemical_formula_sum 'Li1 Sm1 Eu1'
_symmetry_space_group_name_H-M 'P 3 m 1'
_symmetry_Int_Tables_number 156
_cell_length_a 5.6259
_cell_length_b 5.6259
_cell_length_c 3.5045
_cell_angle_alpha 90.00
_cell_angle_beta 90.00
_cell_angle_gamma 120.00
loop_
_symmetry_equiv_pos_as_xyz
'x,y,z'
'-y,x-y,z'
'-x+y,-x,z'
'-y,-x,z'
'-x+y,y,z'
'x,x-y,z'
loop_
_atom_site_label
_atom_site_type_symbol
_atom_site_fract_x
_atom_site_fract_y
_atom_site_fract_z
_atom_site_occupancy
Li1 Li 0.0000 0.0000 0.0000 1
Sm1 Sm 0.3333 0.6667 0.3529 1
Eu1 Eu 0.6667 0.3333 0.7638 1
```

(13)
A relaxed LiSm2Eu crystal, computed with PBE-GGA.

Computed properties:
polymorph energy (0 for the lowest one)	26	meV/atom
total magnetic moment	29.54	μB/cell
formation enthalpy at 0 K	0.213	eV per atom

The structure in CIF format:
```
data_LiSm2Eu
_chemical_formula_sum 'Li4 Sm8 Eu4'
_symmetry_space_group_name_H-M 'F m -3 m'
_symmetry_Int_Tables_number 225
_symmetry_space_group_name_Hall '-F 4 2 3'
_cell_length_a 7.998
_cell_length_b 7.998
_cell_length_c 7.998
_cell_angle_alpha 90.00
_cell_angle_beta 90.00
_cell_angle_gamma 90.00
loop_
_atom_site_label
_atom_site_type_symbol
_atom_site_fract_x
_atom_site_fract_y
_atom_site_fract_z
_atom_site_occupancy
Li1 Li 0.000 0.000 0.000 1
Sm1 Sm 0.250 0.250 0.250 1
Eu1 Eu 0.000 0.000 0.500 1
```